(1)
Below is a relaxed AlP2N crystal, with properties calculated at the PBE level.

Summary:
calculated volume	51.8	Å³ per cell
ΔE to the lowest computed polymorph	788.2	meV per atom
magnetization	0.1	μB per formula unit

Cell: 4.185 4.185 4.185 Å, 60.00 60.00 60.00°
Element x y z (fractional)
Al1 0.000 0.000 0.000
P1 0.250 0.250 0.250
P2 0.750 0.750 0.750
N1 0.500 0.500 0.500

***

(2)
Below is a relaxed AlPN3 crystal, with properties calculated at the PBE level.

Summary:
calculated volume	52.8	Å³ per cell
E	-27.1	eV for the cell shown
magnetization	1.8	μB per formula unit

Cell: 3.751 3.751 3.751 Å, 90.00 90.00 90.00°
Element x y z (fractional)
Al1 0.000 0.000 0.000
P1 0.500 0.500 0.500
N1 0.000 0.000 0.500
N2 0.000 0.500 0.000
N3 0.500 0.000 0.000

***

(3)
Below is a relaxed AlP2N crystal, with properties calculated at the PBE level.

Summary:
calculated volume	124.7	Å³ per cell
ΔE to the lowest computed polymorph	0.0	meV per atom
magnetization	0.0	μB per formula unit

Cell: 6.305 6.305 6.305 Å, 134.69 134.69 66.01°
Element x y z (fractional)
Al1 0.000 0.000 0.000
Al2 0.750 0.250 0.500
P1 0.196 0.625 0.071
P2 0.375 0.446 0.571
P3 0.554 0.125 0.929
P4 0.875 0.804 0.429
N1 0.250 0.750 0.500
N2 0.500 0.500 0.000

***

(4)
Below is a relaxed AlPN3 crystal, with properties calculated at the PBE level.

Summary:
calculated volume	114.3	Å³ per cell
E	-72.2	eV for the cell shown
magnetization	0.3	μB per formula unit

Cell: 5.237 2.823 7.781 Å, 90.00 96.35 90.00°
Element x y z (fractional)
Al1 0.138 0.250 0.371
Al2 0.862 0.750 0.629
P1 0.395 0.250 0.774
P2 0.605 0.750 0.226
N1 0.142 0.250 0.625
N2 0.336 0.750 0.305
N3 0.346 0.750 0.883
N4 0.654 0.250 0.117
N5 0.664 0.250 0.695
N6 0.858 0.750 0.375

***

(5)
Below is a relaxed Al2PN crystal, with properties calculated at the PBE level.

Summary:
calculated volume	50.1	Å³ per cell
ΔE to the lowest computed polymorph	1390.5	meV per atom
magnetization	0.0	μB per formula unit

Cell: 4.138 4.138 4.138 Å, 60.00 60.00 60.00°
Element x y z (fractional)
Al1 0.250 0.250 0.250
Al2 0.750 0.750 0.750
P1 0.000 0.000 0.000
N1 0.500 0.500 0.500

***

(6)
Below is a relaxed AlPN3 crystal, with properties calculated at the PBE level.

Summary:
calculated volume	41.7	Å³ per cell
E	-30.7	eV for the cell shown
magnetization	0.0	μB per formula unit

Cell: 3.468 3.468 3.468 Å, 90.00 90.00 90.00°
Element x y z (fractional)
Al1 0.000 0.000 0.000
P1 0.500 0.500 0.500
N1 0.000 0.500 0.500
N2 0.500 0.000 0.500
N3 0.500 0.500 0.000